Density functional theory data (meta-GGA SCAN) for a PBEsol-optimized structure of CaAs3Cl.

Cell lengths 5.299, 5.299, 5.299 Å; angles 90.00, 90.00, 90.00 degrees
Fractional coordinates of all 5 atoms:
Ca 0.000 0.000 0.000
As 0.000 0.000 0.500
As 0.000 0.500 0.000
As 0.500 0.000 0.000
Cl 0.500 0.500 0.500

uncorrected formation energy = 0.86 eV per atom
spin magnetization = 0.000 μB/f.u.
Fermi-level density of states = 6.94 states/eV/cell
space-group type = Pm-3m


Density functional theory data (meta-GGA SCAN) for a PBEsol-optimized structure of YBeSb2.

Cell lengths 4.615, 4.615, 4.103 Å; angles 90.00, 90.00, 90.00 degrees
Fractional coordinates of all 4 atoms:
Y 0.000 0.000 0.000
Be 0.500 0.500 0.000
Sb 0.000 0.500 0.500
Sb 0.500 0.000 0.500

uncorrected formation energy = -0.21 eV per atom
spin magnetization = 0.000 μB/f.u.
Fermi-level density of states = 1.77 states/eV/cell
space-group type = P4/mmm


Density functional theory data (meta-GGA SCAN) for a PBEsol-optimized structure of SnPd2C.

Cell lengths 4.345, 4.345, 4.345 Å; angles 60.00, 60.00, 60.00 degrees
Fractional coordinates of all 4 atoms:
Sn 0.000 0.000 0.000
Pd 0.250 0.250 0.250
Pd 0.750 0.750 0.750
C 0.500 0.500 0.500

spin magnetization = 0.001 μB/f.u.
Fermi-level density of states = 2.55 states/eV/cell
formation enthalpy at 0 K = 1.000 eV/atom
space-group type = Fm-3m


Density functional theory data (meta-GGA SCAN) for a PBEsol-optimized structure of YSc2Fe.

Cell lengths 3.134, 3.134, 8.412 Å; angles 90.00, 90.00, 90.60 degrees
Fractional coordinates of all 4 atoms:
Y 0.000 0.000 0.000
Sc 0.500 0.500 0.326
Sc 0.500 0.500 0.674
Fe 0.000 0.000 0.500

energy above the most stable polymorph in this dataset = 0.0 kJ/mol of atoms
spin magnetization = 0.065 μB/f.u.
Fermi-level density of states = 2.73 states/eV/cell
formation enthalpy at 0 K = 0.004 eV/atom
space-group type = Cmmm


Density functional theory data (meta-GGA SCAN) for a PBEsol-optimized structure of LiCu2Ir.

Cell lengths 2.708, 4.267, 4.267 Å; angles 90.00, 90.00, 90.00 degrees
Fractional coordinates of all 4 atoms:
Li 0.000 0.000 0.000
Cu 0.500 0.000 0.500
Cu 0.500 0.500 0.997
Ir 0.000 0.500 0.497

energy above the most stable polymorph in this dataset = 1.7 kJ/mol of atoms
spin magnetization = 0.000 μB/f.u.
Fermi-level density of states = 2.08 states/eV/cell
formation enthalpy at 0 K = -0.101 eV/atom
space-group type = Pmm2


Density functional theory data (meta-GGA SCAN) for a PBEsol-optimized structure of Ag2AsSCl.

Cell lengths 4.680, 4.680, 5.174 Å; angles 90.00, 90.00, 90.00 degrees
Fractional coordinates of all 5 atoms:
Ag 0.000 0.500 0.000
Ag 0.500 0.000 0.000
As 0.000 0.000 0.500
S 0.500 0.500 0.500
Cl 0.000 0.000 0.000

uncorrected formation energy = 0.80 eV per atom
spin magnetization = 0.000 μB/f.u.
Fermi-level density of states = 2.69 states/eV/cell
space-group type = P4/mmm


Density functional theory data (meta-GGA SCAN) for a PBEsol-optimized structure of TaRu.

Cell lengths 8.713, 8.713, 8.713 Å; angles 19.39, 19.39, 19.39 degrees
Fractional coordinates of all 4 atoms:
Ta 0.122 0.122 0.122
Ta 0.878 0.878 0.878
Ru 0.376 0.376 0.376
Ru 0.624 0.624 0.624

spin magnetization = 0.000 μB/f.u.
Fermi-level density of states = 3.71 states/eV/cell
formation enthalpy at 0 K = 0.113 eV/atom
space-group type = R-3m


Density functional theory data (meta-GGA SCAN) for a PBEsol-optimized structure of SbAu.

Cell lengths 3.939, 3.939, 2.957 Å; angles 90.00, 90.00, 90.00 degrees
Fractional coordinates of all 2 atoms:
Sb 0.000 0.000 0.000
Au 0.500 0.500 0.000

uncorrected formation energy = -0.08 eV per atom
spin magnetization = 0.000 μB/f.u.
Fermi-level density of states = 0.76 states/eV/cell
space-group type = P4/mmm


Density functional theory data (meta-GGA SCAN) for a PBEsol-optimized structure of MnBeTe2.

Cell lengths 7.755, 7.755, 7.755 Å; angles 31.72, 31.72, 31.72 degrees
Fractional coordinates of all 4 atoms:
Mn 0.000 0.000 0.000
Be 0.500 0.500 0.500
Te 0.399 0.399 0.399
Te 0.601 0.601 0.601

uncorrected formation energy = -0.12 eV per atom
spin magnetization = 5.000 μB/f.u.
Fermi-level density of states = 0.14 states/eV/cell
space-group type = R-3m


Density functional theory data (meta-GGA SCAN) for a PBEsol-optimized structure of Mg6Zn7.

Cell lengths 10.160, 10.160, 10.160 Å; angles 29.29, 29.29, 29.29 degrees
Fractional coordinates of all 13 atoms:
Mg 0.049 0.049 0.049
Mg 0.151 0.151 0.151
Mg 0.333 0.333 0.333
Mg 0.667 0.667 0.667
Mg 0.849 0.849 0.849
Mg 0.951 0.951 0.951
Zn 0.090 0.594 0.594
Zn 0.406 0.406 0.910
Zn 0.406 0.910 0.406
Zn 0.500 0.500 0.500
Zn 0.594 0.090 0.594
Zn 0.594 0.594 0.090
Zn 0.910 0.406 0.406

spin magnetization = 0.000 μB/f.u.
Fermi-level density of states = 3.71 states/eV/cell
formation enthalpy at 0 K = -0.166 eV/atom
space-group type = R-3m


Density functional theory data (meta-GGA SCAN) for a PBEsol-optimized structure of Ta4FePb.

Cell lengths 5.408, 5.408, 5.408 Å; angles 60.00, 60.00, 60.00 degrees
Fractional coordinates of all 6 atoms:
Ta 0.125 0.125 0.125
Ta 0.125 0.125 0.625
Ta 0.125 0.625 0.125
Ta 0.625 0.125 0.125
Fe 0.750 0.750 0.750
Pb 0.500 0.500 0.500

spin magnetization = 2.031 μB/f.u.
Fermi-level density of states = 7.01 states/eV/cell
formation enthalpy at 0 K = 0.622 eV/atom
space-group type = F-43m


Density functional theory data (meta-GGA SCAN) for a PBEsol-optimized structure of MgCdAg2.

Cell lengths 3.212, 3.500, 6.366 Å; angles 90.00, 90.00, 90.00 degrees
Fractional coordinates of all 4 atoms:
Mg 0.000 0.000 0.000
Cd 0.000 0.000 0.500
Ag 0.500 0.500 0.243
Ag 0.500 0.500 0.757

spin magnetization = 0.000 μB/f.u.
Fermi-level density of states = 0.99 states/eV/cell
formation enthalpy at 0 K = -0.176 eV/atom
space-group type = Pmmm


Density functional theory data (meta-GGA SCAN) for a PBEsol-optimized structure of Y2FeOs.

Cell lengths 4.004, 5.399, 5.399 Å; angles 46.80, 90.00, 90.00 degrees
Fractional coordinates of all 4 atoms:
Y 0.000 0.000 0.000
Y 0.500 0.292 0.292
Fe 0.000 0.697 0.697
Os 0.500 0.596 0.596

spin magnetization = 0.001 μB/f.u.
Fermi-level density of states = 3.35 states/eV/cell
formation enthalpy at 0 K = -0.127 eV/atom
space-group type = Amm2


Density functional theory data (meta-GGA SCAN) for a PBEsol-optimized structure of ZnCdBr2.

Cell lengths 5.024, 5.024, 5.024 Å; angles 60.00, 60.00, 60.00 degrees
Fractional coordinates of all 4 atoms:
Zn 0.000 0.000 0.000
Cd 0.500 0.500 0.500
Br 0.250 0.250 0.250
Br 0.750 0.750 0.750

energy above the most stable polymorph in this dataset = 45.7 kJ/mol of atoms
uncorrected formation energy = -0.09 eV per atom
spin magnetization = 0.000 μB/f.u.
Fermi-level density of states = 2.02 states/eV/cell
space-group type = Fm-3m


Density functional theory data (meta-GGA SCAN) for a PBEsol-optimized structure of GaSbPI2.

Cell lengths 5.490, 5.490, 5.174 Å; angles 90.00, 90.00, 90.00 degrees
Fractional coordinates of all 5 atoms:
Ga 0.000 0.000 0.000
Sb 0.500 0.500 0.000
P 0.500 0.500 0.500
I 0.000 0.500 0.500
I 0.500 0.000 0.500

uncorrected formation energy = 0.48 eV per atom
spin magnetization = 0.004 μB/f.u.
Fermi-level density of states = 3.67 states/eV/cell
space-group type = P4/mmm


Density functional theory data (meta-GGA SCAN) for a PBEsol-optimized structure of KY.

Cell lengths 4.457, 4.457, 10.429 Å; angles 90.00, 90.00, 90.00 degrees
Fractional coordinates of all 4 atoms:
K 0.250 0.250 0.174
K 0.750 0.750 0.826
Y 0.250 0.750 0.500
Y 0.750 0.250 0.500

spin magnetization = 0.266 μB/f.u.
Fermi-level density of states = 3.87 states/eV/cell
formation enthalpy at 0 K = 0.551 eV/atom
space-group type = P4/nmm


Density functional theory data (meta-GGA SCAN) for a PBEsol-optimized structure of Ba2SrTl.

Cell lengths 4.236, 4.236, 10.351 Å; angles 90.00, 90.00, 90.00 degrees
Fractional coordinates of all 4 atoms:
Ba 0.000 0.000 0.190
Ba 0.000 0.000 0.810
Sr 0.500 0.500 0.500
Tl 0.500 0.500 0.000

energy above the most stable polymorph in this dataset = 0.0 kJ/mol of atoms
spin magnetization = 0.000 μB/f.u.
Fermi-level density of states = 2.71 states/eV/cell
formation enthalpy at 0 K = -0.317 eV/atom
space-group type = P4/mmm


Density functional theory data (meta-GGA SCAN) for a PBEsol-optimized structure of BPRh3.

Cell lengths 4.024, 4.024, 4.024 Å; angles 90.00, 90.00, 90.00 degrees
Fractional coordinates of all 5 atoms:
B 0.000 0.000 0.000
P 0.500 0.500 0.500
Rh 0.000 0.000 0.500
Rh 0.000 0.500 0.000
Rh 0.500 0.000 0.000

spin magnetization = 0.005 μB/f.u.
Fermi-level density of states = 8.43 states/eV/cell
formation enthalpy at 0 K = 0.165 eV/atom
space-group type = Pm-3m


Density functional theory data (meta-GGA SCAN) for a PBEsol-optimized structure of Mo5W.

Cell lengths 5.186, 5.186, 6.266 Å; angles 107.58, 107.58, 35.16 degrees
Fractional coordinates of all 6 atoms:
Mo 0.000 0.000 0.000
Mo 0.333 0.333 0.667
Mo 0.334 0.334 0.166
Mo 0.666 0.666 0.834
Mo 0.667 0.667 0.333
W 0.000 0.000 0.500

spin magnetization = 0.000 μB/f.u.
Fermi-level density of states = 3.37 states/eV/cell
formation enthalpy at 0 K = -0.001 eV/atom
space-group type = C2/m


Density functional theory data (meta-GGA SCAN) for a PBEsol-optimized structure of Zr2SiIr.

Cell lengths 4.846, 4.846, 3.045 Å; angles 90.00, 90.00, 107.32 degrees
Fractional coordinates of all 4 atoms:
Zr 0.000 0.500 0.000
Zr 0.500 0.000 0.000
Si 0.000 0.000 0.500
Ir 0.500 0.500 0.500

uncorrected formation energy = -0.77 eV per atom
spin magnetization = 0.000 μB/f.u.
Fermi-level density of states = 2.31 states/eV/cell
space-group type = Cmmm